Record 1
The following is a PBE calculation of an optimized crystal structure of ErMg2ZnPt4, from the Alexandria database.

Calculated values
Formation energy from the elements, kJ per mole of atoms: -82.6
Fermi-level density of states, states/eV per cell: 2.69

abc: 7.956 7.956 7.956
angles: 33.36 33.36 33.36
Element x y z (fractional)
Er1 0.000 0.000 0.000
Mg1 0.247 0.247 0.247
Mg2 0.753 0.753 0.753
Zn1 0.500 0.500 0.500
Pt1 0.128 0.128 0.128
Pt2 0.384 0.384 0.384
Pt3 0.616 0.616 0.616
Pt4 0.872 0.872 0.872

Record 2
The following is a PBE calculation of an optimized crystal structure of ErMgZnPt, from the Alexandria database.

Calculated values
Formation energy from the elements, kJ per mole of atoms: -67.9
Fermi-level density of states, states/eV per cell: 3.94

abc: 4.758 4.758 4.758
angles: 60.00 60.00 60.00
Element x y z (fractional)
Er1 0.000 0.000 0.000
Mg1 0.500 0.500 0.500
Zn1 0.250 0.250 0.250
Pt1 0.750 0.750 0.750

Record 3
The following is a PBE calculation of an optimized crystal structure of Er2MgZn2Pt5, from the Alexandria database.

Calculated values
Formation energy from the elements, kJ per mole of atoms: -86.1
Fermi-level density of states, states/eV per cell: 6.23

abc: 9.578 9.578 3.819
angles: 90.00 90.00 90.00
Element x y z (fractional)
Er1 0.175 0.325 0.000
Er2 0.325 0.825 0.000
Er3 0.675 0.175 0.000
Er4 0.825 0.675 0.000
Mg1 0.000 0.000 0.000
Mg2 0.500 0.500 0.000
Zn1 0.122 0.622 0.000
Zn2 0.378 0.122 0.000
Zn3 0.622 0.878 0.000
Zn4 0.878 0.378 0.000
Pt1 0.000 0.500 0.500
Pt2 0.069 0.796 0.500
Pt3 0.204 0.069 0.500
Pt4 0.296 0.569 0.500
Pt5 0.431 0.296 0.500
Pt6 0.500 0.000 0.500
Pt7 0.569 0.704 0.500
Pt8 0.704 0.431 0.500
Pt9 0.796 0.931 0.500
Pt10 0.931 0.204 0.500